Record 1
# Sb2TeW (PBE, relaxed)
data_Sb2TeW
_chemical_formula_sum 'Sb4 Te2 W2'
_space_group_name_H-M_alt 'C m m 2'
_space_group_IT_number 35
_cell_length_a 3.475
_cell_length_b 5.203
_cell_length_c 10.964
_cell_angle_alpha 90.00
_cell_angle_beta 90.00
_cell_angle_gamma 90.00
loop_
_space_group_symop_operation_xyz
'x,y,z'
'-x,-y,z'
'-x,y,z'
'x,-y,z'
'x+1/2,y+1/2,z'
'-x+1/2,-y+1/2,z'
'-x+1/2,y+1/2,z'
'x+1/2,-y+1/2,z'
loop_
_atom_site_label
_atom_site_type_symbol
_atom_site_fract_x
_atom_site_fract_y
_atom_site_fract_z
Sb1 Sb 0.000 0.000 0.000
Sb2 Sb 0.000 0.500 0.306
Te1 Te 0.000 0.000 0.599
W1 W 0.000 0.500 0.799
# final energy = -5.50 eV per atom
# uncorrected formation energy = 13.5 kcal/mol of atoms

***

Record 2
# PmCdAgF6 (PBE, relaxed)
data_PmCdAgF6
_chemical_formula_sum 'Pm2 Cd2 Ag2 F12'
_space_group_name_H-M_alt 'P 42 n m'
_space_group_IT_number 102
_cell_length_a 5.396
_cell_length_b 5.396
_cell_length_c 11.025
_cell_angle_alpha 90.00
_cell_angle_beta 90.00
_cell_angle_gamma 90.00
loop_
_space_group_symop_operation_xyz
'x,y,z'
'-y+1/2,x+1/2,z+1/2'
'-x,-y,z'
'y+1/2,-x+1/2,z+1/2'
'-x+1/2,y+1/2,z+1/2'
'y,x,z'
'x+1/2,-y+1/2,z+1/2'
'-y,-x,z'
loop_
_atom_site_label
_atom_site_type_symbol
_atom_site_fract_x
_atom_site_fract_y
_atom_site_fract_z
Pm1 Pm 0.000 0.000 0.000
Cd1 Cd 0.000 0.000 0.666
Ag1 Ag 0.000 0.000 0.332
F1 F 0.181 0.181 0.833
F2 F 0.203 0.203 0.514
F3 F 0.207 0.207 0.148
# final energy = -4.92 eV per atom
# uncorrected formation energy = -62.8 kcal/mol of atoms

***

Record 3
# LiZrPd (PBE, relaxed)
data_LiZrPd
_chemical_formula_sum 'Li2 Zr2 Pd2'
_space_group_name_H-M_alt 'I 4 m m'
_space_group_IT_number 107
_space_group_name_Hall 'I 4 -2'
_cell_length_a 3.428
_cell_length_b 3.428
_cell_length_c 8.808
_cell_angle_alpha 90.00
_cell_angle_beta 90.00
_cell_angle_gamma 90.00
loop_
_atom_site_label
_atom_site_type_symbol
_atom_site_fract_x
_atom_site_fract_y
_atom_site_fract_z
Li1 Li 0.000 0.000 0.000
Zr1 Zr 0.000 0.000 0.312
Pd1 Pd 0.000 0.000 0.647
# E_form = -310 meV/atom
# distance to the lowest polymorph of the same formula = 97 meV/atom
# final energy = -5.53 eV per atom

***

Record 4
# Cs2NaSr2 (PBE, relaxed)
data_Cs2NaSr2
_chemical_formula_sum 'Cs4 Na2 Sr4'
_space_group_name_H-M_alt 'I 4/m m m'
_space_group_IT_number 139
_space_group_name_Hall '-I 4 2'
_cell_length_a 5.539
_cell_length_b 5.539
_cell_length_c 23.398
_cell_angle_alpha 90.00
_cell_angle_beta 90.00
_cell_angle_gamma 90.00
loop_
_atom_site_label
_atom_site_type_symbol
_atom_site_fract_x
_atom_site_fract_y
_atom_site_fract_z
Cs1 Cs 0.000 0.500 0.250
Na1 Na 0.000 0.000 0.000
Sr1 Sr 0.000 0.000 0.414
# E_form = 358 meV/atom
# distance to the lowest polymorph of the same formula = 154 meV/atom
# final energy = -0.92 eV per atom

***

Record 5
# PHOsN (PBE, relaxed)
data_PHOsN
_chemical_formula_sum 'P2 H2 Os2 N2'
_space_group_name_H-M_alt 'C 1 m 1'
_space_group_IT_number 8
_cell_length_a 6.861
_cell_length_b 3.084
_cell_length_c 4.684
_cell_angle_alpha 90.00
_cell_angle_beta 124.40
_cell_angle_gamma 90.00
loop_
_space_group_symop_operation_xyz
'x,y,z'
'x,-y,z'
'x+1/2,y+1/2,z'
'x+1/2,-y+1/2,z'
loop_
_atom_site_label
_atom_site_type_symbol
_atom_site_fract_x
_atom_site_fract_y
_atom_site_fract_z
P1 P 0.000 0.000 0.000
H1 H 0.265 0.500 0.135
Os1 Os 0.095 0.500 0.726
N1 N 0.172 0.000 0.430
# distance to the lowest polymorph of the same formula = 226 meV/atom
# final energy = -6.79 eV per atom

***

Record 6
# CaGdSnAu (PBE, relaxed)
data_CaGdSnAu
_chemical_formula_sum 'Ca4 Gd4 Sn4 Au4'
_space_group_name_H-M_alt 'F -4 3 m'
_space_group_IT_number 216
_space_group_name_Hall 'F -4 2 3'
_cell_length_a 7.472
_cell_length_b 7.472
_cell_length_c 7.472
_cell_angle_alpha 90.00
_cell_angle_beta 90.00
_cell_angle_gamma 90.00
loop_
_atom_site_label
_atom_site_type_symbol
_atom_site_fract_x
_atom_site_fract_y
_atom_site_fract_z
Ca1 Ca 0.000 0.000 0.000
Gd1 Gd 0.000 0.000 0.500
Sn1 Sn 0.250 0.250 0.750
Au1 Au 0.250 0.250 0.250
# E_form = -761 meV/atom
# final energy = -6.60 eV per atom

***

Record 7
# Ac4SnSbS2 (PBE, relaxed)
data_Ac4SnSbS2
_chemical_formula_sum 'Ac16 Sn4 Sb4 S8'
_space_group_name_H-M_alt 'I m m a'
_space_group_IT_number 74
_space_group_name_Hall '-I 2b 2'
_cell_length_a 9.145
_cell_length_b 9.159
_cell_length_c 12.961
_cell_angle_alpha 90.00
_cell_angle_beta 90.00
_cell_angle_gamma 90.00
loop_
_atom_site_label
_atom_site_type_symbol
_atom_site_fract_x
_atom_site_fract_y
_atom_site_fract_z
Ac1 Ac 0.000 0.011 0.244
Ac2 Ac 0.238 0.250 0.005
Sn1 Sn 0.250 0.250 0.750
Sb1 Sb 0.000 0.000 0.500
S1 S 0.000 0.000 0.000
S2 S 0.250 0.250 0.250
# final energy = -5.55 eV per atom
# uncorrected formation energy = -33.4 kcal/mol of atoms

***

Record 8
# InSn2Bi (PBE, relaxed)
data_InSn2Bi
_chemical_formula_sum 'In4 Sn8 Bi4'
_space_group_name_H-M_alt 'F m -3 m'
_space_group_IT_number 225
_space_group_name_Hall '-F 4 2 3'
_cell_length_a 7.752
_cell_length_b 7.752
_cell_length_c 7.752
_cell_angle_alpha 90.00
_cell_angle_beta 90.00
_cell_angle_gamma 90.00
loop_
_atom_site_label
_atom_site_type_symbol
_atom_site_fract_x
_atom_site_fract_y
_atom_site_fract_z
In1 In 0.000 0.000 0.000
Sn1 Sn 0.250 0.250 0.250
Bi1 Bi 0.000 0.000 0.500
# E_form = 81 meV/atom
# distance to the lowest polymorph of the same formula = 40 meV/atom
# final energy = -3.57 eV per atom

***

Record 9
# LiYZr (PBE, relaxed)
data_LiYZr
_chemical_formula_sum 'Li4 Y4 Zr4'
_space_group_name_H-M_alt 'F -4 3 m'
_space_group_IT_number 216
_space_group_name_Hall 'F -4 2 3'
_cell_length_a 6.822
_cell_length_b 6.822
_cell_length_c 6.822
_cell_angle_alpha 90.00
_cell_angle_beta 90.00
_cell_angle_gamma 90.00
loop_
_atom_site_label
_atom_site_type_symbol
_atom_site_fract_x
_atom_site_fract_y
_atom_site_fract_z
Li1 Li 0.000 0.000 0.000
Y1 Y 0.250 0.250 0.750
Zr1 Zr 0.250 0.250 0.250
# E_form = 732 meV/atom
# distance to the lowest polymorph of the same formula = 665 meV/atom
# final energy = -4.91 eV per atom

***

Record 10
# CaCoI (PBE, relaxed)
data_CaCoI
_chemical_formula_sum 'Ca4 Co4 I4'
_space_group_name_H-M_alt 'C m m m'
_space_group_IT_number 65
_space_group_name_Hall '-C 2 2'
_cell_length_a 8.084
_cell_length_b 8.150
_cell_length_c 4.998
_cell_angle_alpha 90.00
_cell_angle_beta 90.00
_cell_angle_gamma 90.00
loop_
_atom_site_label
_atom_site_type_symbol
_atom_site_fract_x
_atom_site_fract_y
_atom_site_fract_z
Ca1 Ca 0.250 0.250 0.000
Co1 Co 0.000 0.000 0.226
I1 I 0.000 0.277 0.500
# final energy = -3.75 eV per atom
# uncorrected formation energy = -4.6 kcal/mol of atoms

***

Record 11
# Mg2GeRh4 (PBE, relaxed)
data_Mg2GeRh4
_chemical_formula_sum 'Mg4 Ge2 Rh8'
_space_group_name_H-M_alt 'I 4/m m m'
_space_group_IT_number 139
_space_group_name_Hall '-I 4 2'
_cell_length_a 4.489
_cell_length_b 4.489
_cell_length_c 13.158
_cell_angle_alpha 90.00
_cell_angle_beta 90.00
_cell_angle_gamma 90.00
loop_
_atom_site_label
_atom_site_type_symbol
_atom_site_fract_x
_atom_site_fract_y
_atom_site_fract_z
Mg1 Mg 0.000 0.000 0.126
Ge1 Ge 0.000 0.000 0.500
Rh1 Rh 0.000 0.000 0.323
Rh2 Rh 0.000 0.500 0.000
# E_form = 197 meV/atom
# final energy = -5.12 eV per atom

***

Record 12
# LaNb2Ru (PBE, relaxed)
data_LaNb2Ru
_chemical_formula_sum 'La4 Nb8 Ru4'
_space_group_name_H-M_alt 'F m -3 m'
_space_group_IT_number 225
_space_group_name_Hall '-F 4 2 3'
_cell_length_a 6.696
_cell_length_b 6.696
_cell_length_c 6.696
_cell_angle_alpha 90.00
_cell_angle_beta 90.00
_cell_angle_gamma 90.00
loop_
_atom_site_label
_atom_site_type_symbol
_atom_site_fract_x
_atom_site_fract_y
_atom_site_fract_z
La1 La 0.000 0.000 0.000
Nb1 Nb 0.250 0.250 0.250
Ru1 Ru 0.000 0.000 0.500
# E_form = 230 meV/atom
# distance to the lowest polymorph of the same formula = 0 meV/atom
# final energy = -8.36 eV per atom